Record 1
# RbNaIBr GGA-PBE relaxed
# energy relative to the lowest polymorph listed for this composition	123	meV per atom
# formation energy without anion corrections	-1.363	eV/atom
# electronic total energy	-10.96	eV/cell
# theoretical density	3.64	Mg/m³
# N(E_F)	0.00	states/eV per cell
data_RbNaIBr
_chemical_formula_sum 'Rb1 Na1 I1 Br1'
_cell_length_a 5.882
_cell_length_b 5.882
_cell_length_c 5.882
_cell_angle_alpha 60.00
_cell_angle_beta 60.00
_cell_angle_gamma 60.00
_space_group_name_H-M_alt 'P 1'
_space_group_IT_number 1
loop_
_space_group_symop_operation_xyz
'x,y,z'
loop_
_atom_site_label
_atom_site_type_symbol
_atom_site_fract_x
_atom_site_fract_y
_atom_site_fract_z
Rb1 Rb 0.000 0.000 0.000
Na1 Na 0.500 0.500 0.500
I1 I 0.250 0.250 0.250
Br1 Br 0.750 0.750 0.750

Record 2
# Rb2NaIBr4 GGA-PBE relaxed
# formation energy without anion corrections	-1.100	eV/atom
# electronic total energy	-40.59	eV/cell
# theoretical density	3.15	Mg/m³
# N(E_F)	4.81	states/eV per cell
data_Rb2NaIBr4
_chemical_formula_sum 'Rb4 Na2 I2 Br8'
_cell_length_a 9.233
_cell_length_b 9.233
_cell_length_c 10.254
_cell_angle_alpha 116.60
_cell_angle_beta 116.60
_cell_angle_gamma 90.13
_space_group_name_H-M_alt 'P 1'
_space_group_IT_number 1
loop_
_space_group_symop_operation_xyz
'x,y,z'
loop_
_atom_site_label
_atom_site_type_symbol
_atom_site_fract_x
_atom_site_fract_y
_atom_site_fract_z
Rb1 Rb 0.000 0.000 0.000
Rb2 Rb 0.000 0.000 0.500
Rb3 Rb 0.000 0.500 0.000
Rb4 Rb 0.500 0.000 0.500
Na1 Na 0.500 0.500 0.000
Na2 Na 0.500 0.500 0.500
I1 I 0.000 0.500 0.500
I2 I 0.500 0.000 0.000
Br1 Br 0.236 0.687 0.433
Br2 Br 0.240 0.249 0.446
Br3 Br 0.249 0.240 0.946
Br4 Br 0.313 0.764 0.067
Br5 Br 0.687 0.236 0.933
Br6 Br 0.751 0.760 0.054
Br7 Br 0.760 0.751 0.554
Br8 Br 0.764 0.313 0.567

Record 3
# RbNaIBr GGA-PBE relaxed
# energy relative to the lowest polymorph listed for this composition	0	meV per atom
# formation energy without anion corrections	-1.486	eV/atom
# electronic total energy	-11.45	eV/cell
# theoretical density	3.38	Mg/m³
# N(E_F)	0.00	states/eV per cell
data_RbNaIBr
_chemical_formula_sum 'Rb1 Na1 I1 Br1'
_cell_length_a 4.739
_cell_length_b 4.739
_cell_length_c 8.406
_cell_angle_alpha 106.35
_cell_angle_beta 106.35
_cell_angle_gamma 60.07
_space_group_name_H-M_alt 'P 1'
_space_group_IT_number 1
loop_
_space_group_symop_operation_xyz
'x,y,z'
loop_
_atom_site_label
_atom_site_type_symbol
_atom_site_fract_x
_atom_site_fract_y
_atom_site_fract_z
Rb1 Rb 0.000 0.000 0.000
Na1 Na 0.491 0.491 0.469
I1 I 0.232 0.232 0.695
Br1 Br 0.754 0.754 0.265

Record 4
# NaReI2Br GGA-PBE relaxed
# formation energy without anion corrections	0.903	eV/atom
# electronic total energy	-14.02	eV/cell
# theoretical density	5.01	Mg/m³
# N(E_F)	2.74	states/eV per cell
data_NaReI2Br
_chemical_formula_sum 'Na1 Re1 I2 Br1'
_cell_length_a 5.889
_cell_length_b 5.889
_cell_length_c 5.185
_cell_angle_alpha 90.00
_cell_angle_beta 90.00
_cell_angle_gamma 90.00
_space_group_name_H-M_alt 'P 1'
_space_group_IT_number 1
loop_
_space_group_symop_operation_xyz
'x,y,z'
loop_
_atom_site_label
_atom_site_type_symbol
_atom_site_fract_x
_atom_site_fract_y
_atom_site_fract_z
Na1 Na 0.000 0.000 0.000
Re1 Re 0.500 0.500 0.500
I1 I 0.000 0.500 0.000
I2 I 0.500 0.000 0.000
Br1 Br 0.000 0.000 0.500

Record 5
# Na4SIBr GGA-PBE relaxed
# formation energy without anion corrections	-1.191	eV/atom
# electronic total energy	-41.92	eV/cell
# theoretical density	2.51	Mg/m³
# N(E_F)	0.00	states/eV per cell
data_Na4SIBr
_chemical_formula_sum 'Na8 S2 I2 Br2'
_cell_length_a 8.787
_cell_length_b 8.787
_cell_length_c 7.419
_cell_angle_alpha 90.00
_cell_angle_beta 90.00
_cell_angle_gamma 130.19
_space_group_name_H-M_alt 'P 1'
_space_group_IT_number 1
loop_
_space_group_symop_operation_xyz
'x,y,z'
loop_
_atom_site_label
_atom_site_type_symbol
_atom_site_fract_x
_atom_site_fract_y
_atom_site_fract_z
Na1 Na 0.000 0.500 0.000
Na2 Na 0.000 0.500 0.500
Na3 Na 0.077 0.923 0.750
Na4 Na 0.412 0.588 0.750
Na5 Na 0.500 0.000 0.000
Na6 Na 0.500 0.000 0.500
Na7 Na 0.588 0.412 0.250
Na8 Na 0.923 0.077 0.250
S1 S 0.245 0.755 0.750
S2 S 0.755 0.245 0.250
I1 I 0.399 0.601 0.250
I2 I 0.601 0.399 0.750
Br1 Br 0.102 0.898 0.250
Br2 Br 0.898 0.102 0.750

Record 6
# Na5SIBr2 GGA-PBE relaxed
# formation energy without anion corrections	-1.261	eV/atom
# electronic total energy	-26.97	eV/cell
# theoretical density	2.60	Mg/m³
# N(E_F)	0.00	states/eV per cell
data_Na5SIBr2
_chemical_formula_sum 'Na5 S1 I1 Br2'
_cell_length_a 8.580
_cell_length_b 8.580
_cell_length_c 8.580
_cell_angle_alpha 145.24
_cell_angle_beta 129.00
_cell_angle_gamma 63.20
_space_group_name_H-M_alt 'P 1'
_space_group_IT_number 1
loop_
_space_group_symop_operation_xyz
'x,y,z'
loop_
_atom_site_label
_atom_site_type_symbol
_atom_site_fract_x
_atom_site_fract_y
_atom_site_fract_z
Na1 Na 0.000 0.000 0.000
Na2 Na 0.111 0.367 0.744
Na3 Na 0.377 0.633 0.744
Na4 Na 0.623 0.367 0.256
Na5 Na 0.889 0.633 0.256
S1 S 0.000 0.500 0.500
I1 I 0.500 0.000 0.500
Br1 Br 0.220 0.220 0.000
Br2 Br 0.780 0.780 0.000

Record 7
# NaS2IBr GGA-PBE relaxed
# formation energy without anion corrections	0.714	eV/atom
# electronic total energy	-9.23	eV/cell
# theoretical density	2.62	Mg/m³
# N(E_F)	6.05	states/eV per cell
data_NaS2IBr
_chemical_formula_sum 'Na1 S2 I1 Br1'
_cell_length_a 4.791
_cell_length_b 4.791
_cell_length_c 8.130
_cell_angle_alpha 90.00
_cell_angle_beta 90.00
_cell_angle_gamma 90.00
_space_group_name_H-M_alt 'P 1'
_space_group_IT_number 1
loop_
_space_group_symop_operation_xyz
'x,y,z'
loop_
_atom_site_label
_atom_site_type_symbol
_atom_site_fract_x
_atom_site_fract_y
_atom_site_fract_z
Na1 Na 0.000 0.000 0.000
S1 S 0.000 0.500 0.000
S2 S 0.500 0.000 0.000
I1 I 0.000 0.000 0.500
Br1 Br 0.500 0.500 0.500

Record 8
# Na6SI2Br2 GGA-PBE relaxed
# formation energy without anion corrections	-1.272	eV/atom
# electronic total energy	-32.47	eV/cell
# theoretical density	2.68	Mg/m³
# N(E_F)	0.00	states/eV per cell
data_Na6SI2Br2
_chemical_formula_sum 'Na6 S1 I2 Br2'
_cell_length_a 7.483
_cell_length_b 7.483
_cell_length_c 7.800
_cell_angle_alpha 100.89
_cell_angle_beta 100.89
_cell_angle_gamma 117.39
_space_group_name_H-M_alt 'P 1'
_space_group_IT_number 1
loop_
_space_group_symop_operation_xyz
'x,y,z'
loop_
_atom_site_label
_atom_site_type_symbol
_atom_site_fract_x
_atom_site_fract_y
_atom_site_fract_z
Na1 Na 0.047 0.372 0.199
Na2 Na 0.213 0.213 0.796
Na3 Na 0.372 0.047 0.199
Na4 Na 0.628 0.953 0.801
Na5 Na 0.787 0.787 0.204
Na6 Na 0.953 0.628 0.801
S1 S 0.000 0.000 0.000
I1 I 0.179 0.821 0.500
I2 I 0.821 0.179 0.500
Br1 Br 0.344 0.656 0.000
Br2 Br 0.656 0.344 0.000

Record 9
# Na5SI2Br GGA-PBE relaxed
# formation energy without anion corrections	-1.169	eV/atom
# electronic total energy	-26.02	eV/cell
# theoretical density	2.69	Mg/m³
# N(E_F)	0.00	states/eV per cell
data_Na5SI2Br
_chemical_formula_sum 'Na5 S1 I2 Br1'
_cell_length_a 8.977
_cell_length_b 8.977
_cell_length_c 8.977
_cell_angle_alpha 146.85
_cell_angle_beta 130.68
_cell_angle_gamma 60.72
_space_group_name_H-M_alt 'P 1'
_space_group_IT_number 1
loop_
_space_group_symop_operation_xyz
'x,y,z'
loop_
_atom_site_label
_atom_site_type_symbol
_atom_site_fract_x
_atom_site_fract_y
_atom_site_fract_z
Na1 Na 0.000 0.000 0.000
Na2 Na 0.122 0.376 0.746
Na3 Na 0.371 0.624 0.746
Na4 Na 0.629 0.376 0.254
Na5 Na 0.878 0.624 0.254
S1 S 0.000 0.500 0.500
I1 I 0.219 0.219 0.000
I2 I 0.781 0.781 0.000
Br1 Br 0.500 0.000 0.500

Record 10
# NaSb2IBr GGA-PBE relaxed
# energy relative to the lowest polymorph listed for this composition	0	meV per atom
# formation energy without anion corrections	0.330	eV/atom
# electronic total energy	-11.14	eV/cell
# theoretical density	3.40	Mg/m³
# N(E_F)	4.27	states/eV per cell
data_NaSb2IBr
_chemical_formula_sum 'Na1 Sb2 I1 Br1'
_cell_length_a 5.474
_cell_length_b 5.474
_cell_length_c 7.721
_cell_angle_alpha 90.00
_cell_angle_beta 90.00
_cell_angle_gamma 90.00
_space_group_name_H-M_alt 'P 1'
_space_group_IT_number 1
loop_
_space_group_symop_operation_xyz
'x,y,z'
loop_
_atom_site_label
_atom_site_type_symbol
_atom_site_fract_x
_atom_site_fract_y
_atom_site_fract_z
Na1 Na 0.000 0.000 0.000
Sb1 Sb 0.000 0.500 0.500
Sb2 Sb 0.500 0.000 0.500
I1 I 0.500 0.500 0.000
Br1 Br 0.500 0.500 0.500

Record 11
# NaSb2IBr GGA-PBE relaxed
# energy relative to the lowest polymorph listed for this composition	176	meV per atom
# formation energy without anion corrections	0.506	eV/atom
# electronic total energy	-10.26	eV/cell
# theoretical density	4.48	Mg/m³
# N(E_F)	4.11	states/eV per cell
data_NaSb2IBr
_chemical_formula_sum 'Na1 Sb2 I1 Br1'
_cell_length_a 5.620
_cell_length_b 5.620
_cell_length_c 5.552
_cell_angle_alpha 90.00
_cell_angle_beta 90.00
_cell_angle_gamma 90.00
_space_group_name_H-M_alt 'P 1'
_space_group_IT_number 1
loop_
_space_group_symop_operation_xyz
'x,y,z'
loop_
_atom_site_label
_atom_site_type_symbol
_atom_site_fract_x
_atom_site_fract_y
_atom_site_fract_z
Na1 Na 0.000 0.000 0.000
Sb1 Sb 0.000 0.500 0.000
Sb2 Sb 0.500 0.000 0.000
I1 I 0.000 0.000 0.500
Br1 Br 0.500 0.500 0.500

Record 12
# NaScI2Br GGA-PBE relaxed
# formation energy without anion corrections	-1.072	eV/atom
# electronic total energy	-17.79	eV/cell
# theoretical density	3.61	Mg/m³
# N(E_F)	2.58	states/eV per cell
data_NaScI2Br
_chemical_formula_sum 'Na1 Sc1 I2 Br1'
_cell_length_a 5.900
_cell_length_b 5.900
_cell_length_c 5.308
_cell_angle_alpha 90.00
_cell_angle_beta 90.00
_cell_angle_gamma 90.00
_space_group_name_H-M_alt 'P 1'
_space_group_IT_number 1
loop_
_space_group_symop_operation_xyz
'x,y,z'
loop_
_atom_site_label
_atom_site_type_symbol
_atom_site_fract_x
_atom_site_fract_y
_atom_site_fract_z
Na1 Na 0.000 0.000 0.000
Sc1 Sc 0.500 0.500 0.500
I1 I 0.000 0.500 0.500
I2 I 0.500 0.000 0.500
Br1 Br 0.500 0.500 0.000